[1]
A relaxed Tl2PdC4N4 crystal, computed with PBE-GGA.

Values from the calculation:
symmetry	No. 14
raw total energy	-154.50	eV per cell
crystal system	monoclinic

Cell: 6.250 7.332 9.989 Å, 90.00 112.47 90.00°
Fractional coordinates of all 22 atoms:
Tl 0.188 0.149 0.416
Tl 0.188 0.351 0.916
Tl 0.812 0.649 0.084
Tl 0.812 0.851 0.584
Pd 0.500 0.000 0.000
Pd 0.500 0.500 0.500
C 0.227 0.666 0.437
C 0.227 0.834 0.937
C 0.491 0.002 0.798
C 0.491 0.498 0.298
C 0.509 0.502 0.702
C 0.509 0.998 0.202
C 0.773 0.166 0.063
C 0.773 0.334 0.563
N 0.068 0.734 0.898
N 0.068 0.766 0.398
N 0.485 0.003 0.679
N 0.485 0.497 0.179
N 0.515 0.503 0.821
N 0.515 0.997 0.321
N 0.932 0.234 0.602
N 0.932 0.266 0.102

[2]
A relaxed LiInGePt crystal, computed with PBE-GGA.

Values from the calculation:
symmetry	No. 216
polymorph energy (0 for the lowest one)	3.49	kcal/mol of atoms
crystal system	cubic

Cell: 6.494 6.494 6.494 Å, 90.00 90.00 90.00°
Fractional coordinates of all 16 atoms:
Li 0.000 0.000 0.000
Li 0.000 0.500 0.500
Li 0.500 0.000 0.500
Li 0.500 0.500 0.000
In 0.250 0.250 0.750
In 0.250 0.750 0.250
In 0.750 0.250 0.250
In 0.750 0.750 0.750
Ge 0.000 0.000 0.500
Ge 0.000 0.500 0.000
Ge 0.500 0.000 0.000
Ge 0.500 0.500 0.500
Pt 0.250 0.250 0.250
Pt 0.250 0.750 0.750
Pt 0.750 0.250 0.750
Pt 0.750 0.750 0.250

[3]
A relaxed LiYFeS3 crystal, computed with PBE-GGA.

Values from the calculation:
symmetry	No. 63
raw total energy	-72.63	eV per cell
crystal system	orthorhombic

Cell: 6.294 6.294 10.502 Å, 90.00 90.00 144.62°
Fractional coordinates of all 12 atoms:
Li 0.232 0.768 0.750
Li 0.768 0.232 0.250
Y 0.000 0.000 0.000
Y 0.000 0.000 0.500
Fe 0.479 0.521 0.250
Fe 0.521 0.479 0.750
S 0.090 0.910 0.250
S 0.357 0.643 0.084
S 0.357 0.643 0.416
S 0.643 0.357 0.584
S 0.643 0.357 0.916
S 0.910 0.090 0.750

[4]
A relaxed Tb3Ni7B2 crystal, computed with PBE-GGA.

Values from the calculation:
symmetry	No. 194
raw total energy	-144.31	eV per cell
crystal system	hexagonal

Cell: 5.094 5.094 14.317 Å, 90.00 90.00 120.00°
Fractional coordinates of all 24 atoms:
Tb 0.333 0.667 0.030
Tb 0.333 0.667 0.250
Tb 0.333 0.667 0.470
Tb 0.667 0.333 0.530
Tb 0.667 0.333 0.750
Tb 0.667 0.333 0.970
Ni 0.000 0.000 0.000
Ni 0.000 0.000 0.500
Ni 0.165 0.330 0.649
Ni 0.165 0.330 0.851
Ni 0.165 0.835 0.649
Ni 0.165 0.835 0.851
Ni 0.330 0.165 0.149
Ni 0.330 0.165 0.351
Ni 0.670 0.835 0.649
Ni 0.670 0.835 0.851
Ni 0.835 0.165 0.149
Ni 0.835 0.165 0.351
Ni 0.835 0.670 0.149
Ni 0.835 0.670 0.351
B 0.000 0.000 0.250
B 0.000 0.000 0.750
B 0.333 0.667 0.750
B 0.667 0.333 0.250

[5]
A relaxed CsFeCuS3 crystal, computed with PBE-GGA.

Values from the calculation:
symmetry	No. 62
raw total energy	-113.49	eV per cell
crystal system	orthorhombic

Cell: 15.281 3.613 9.408 Å, 90.00 90.00 90.00°
Fractional coordinates of all 24 atoms:
Cs 0.239 0.250 0.051
Cs 0.261 0.750 0.551
Cs 0.739 0.250 0.449
Cs 0.761 0.750 0.949
Fe 0.013 0.250 0.338
Fe 0.487 0.750 0.838
Fe 0.513 0.250 0.162
Fe 0.987 0.750 0.662
Cu 0.012 0.750 0.095
Cu 0.488 0.250 0.595
Cu 0.512 0.750 0.405
Cu 0.988 0.250 0.905
S 0.064 0.250 0.568
S 0.077 0.750 0.861
S 0.106 0.750 0.279
S 0.394 0.250 0.779
S 0.423 0.250 0.361
S 0.436 0.750 0.068
S 0.564 0.250 0.932
S 0.577 0.750 0.639
S 0.606 0.750 0.221
S 0.894 0.250 0.721
S 0.923 0.250 0.139
S 0.936 0.750 0.432

[6]
A relaxed Nd2PdPt crystal, computed with PBE-GGA.

Values from the calculation:
symmetry	No. 38
formation enthalpy at 0 K	-989	meV per atom
crystal system	orthorhombic

Cell: 4.627 3.891 10.877 Å, 90.00 90.00 90.00°
Fractional coordinates of all 8 atoms:
Nd 0.000 0.000 0.000
Nd 0.000 0.500 0.500
Nd 0.500 0.000 0.274
Nd 0.500 0.500 0.774
Pd 0.500 0.000 0.550
Pd 0.500 0.500 0.050
Pt 0.000 0.000 0.723
Pt 0.000 0.500 0.223

[7]
A relaxed YMgCoSi crystal, computed with PBE-GGA.

Values from the calculation:
symmetry	No. 216
polymorph energy (0 for the lowest one)	0.00	kcal/mol of atoms
crystal system	cubic

Cell: 6.383 6.383 6.383 Å, 90.00 90.00 90.00°
Fractional coordinates of all 16 atoms:
Y 0.000 0.000 0.000
Y 0.000 0.500 0.500
Y 0.500 0.000 0.500
Y 0.500 0.500 0.000
Mg 0.250 0.250 0.250
Mg 0.250 0.750 0.750
Mg 0.750 0.250 0.750
Mg 0.750 0.750 0.250
Co 0.250 0.250 0.750
Co 0.250 0.750 0.250
Co 0.750 0.250 0.250
Co 0.750 0.750 0.750
Si 0.000 0.000 0.500
Si 0.000 0.500 0.000
Si 0.500 0.000 0.000
Si 0.500 0.500 0.500

[8]
A relaxed PrZrSc crystal, computed with PBE-GGA.

Values from the calculation:
symmetry	No. 216
polymorph energy (0 for the lowest one)	4.63	kcal/mol of atoms
formation enthalpy at 0 K	1008	meV per atom
crystal system	cubic

Cell: 7.115 7.115 7.115 Å, 90.00 90.00 90.00°
Fractional coordinates of all 12 atoms:
Pr 0.000 0.000 0.000
Pr 0.000 0.500 0.500
Pr 0.500 0.000 0.500
Pr 0.500 0.500 0.000
Zr 0.250 0.250 0.250
Zr 0.250 0.750 0.750
Zr 0.750 0.250 0.750
Zr 0.750 0.750 0.250
Sc 0.250 0.250 0.750
Sc 0.250 0.750 0.250
Sc 0.750 0.250 0.250
Sc 0.750 0.750 0.750

[9]
A relaxed LaGe2Au2 crystal, computed with PBE-GGA.

Values from the calculation:
symmetry	No. 129
raw total energy	-47.56	eV per cell
crystal system	tetragonal

Cell: 4.539 4.539 10.452 Å, 90.00 90.00 90.00°
Fractional coordinates of all 10 atoms:
La 0.250 0.250 0.248
La 0.750 0.750 0.752
Ge 0.250 0.250 0.868
Ge 0.250 0.750 0.500
Ge 0.750 0.250 0.500
Ge 0.750 0.750 0.132
Au 0.250 0.250 0.627
Au 0.250 0.750 0.000
Au 0.750 0.250 0.000
Au 0.750 0.750 0.373

[10]
A relaxed GdDyPO crystal, computed with PBE-GGA.

Values from the calculation:
symmetry	No. 26
polymorph energy (0 for the lowest one)	0.24	kcal/mol of atoms
crystal system	orthorhombic

Cell: 4.157 7.639 5.567 Å, 90.00 90.00 90.00°
Fractional coordinates of all 8 atoms:
Gd 0.000 0.127 0.000
Gd 0.000 0.873 0.500
Dy 0.500 0.296 0.459
Dy 0.500 0.704 0.959
P 0.500 0.346 0.957
P 0.500 0.654 0.457
O 0.000 0.173 0.418
O 0.000 0.827 0.918

[11]
A relaxed ErTmHg6 crystal, computed with PBE-GGA.

Values from the calculation:
symmetry	No. 38
polymorph energy (0 for the lowest one)	0.23	kcal/mol of atoms
formation enthalpy at 0 K	-306	meV per atom
crystal system	orthorhombic

Cell: 4.839 7.091 10.791 Å, 90.00 90.00 90.00°
Fractional coordinates of all 16 atoms:
Er 0.000 0.000 0.000
Er 0.000 0.500 0.500
Tm 0.500 0.000 0.280
Tm 0.500 0.500 0.780
Hg 0.000 0.000 0.464
Hg 0.000 0.230 0.734
Hg 0.000 0.270 0.234
Hg 0.000 0.500 0.964
Hg 0.000 0.730 0.234
Hg 0.000 0.770 0.734
Hg 0.500 0.000 0.815
Hg 0.500 0.230 0.546
Hg 0.500 0.270 0.046
Hg 0.500 0.500 0.315
Hg 0.500 0.730 0.046
Hg 0.500 0.770 0.546

[12]
A relaxed CdCoCuW crystal, computed with PBE-GGA.

Values from the calculation:
symmetry	No. 216
polymorph energy (0 for the lowest one)	4.51	kcal/mol of atoms
formation enthalpy at 0 K	605	meV per atom
crystal system	cubic

Cell: 6.138 6.138 6.138 Å, 90.00 90.00 90.00°
Fractional coordinates of all 16 atoms:
Cd 0.000 0.000 0.000
Cd 0.000 0.500 0.500
Cd 0.500 0.000 0.500
Cd 0.500 0.500 0.000
Co 0.000 0.000 0.500
Co 0.000 0.500 0.000
Co 0.500 0.000 0.000
Co 0.500 0.500 0.500
Cu 0.250 0.250 0.750
Cu 0.250 0.750 0.250
Cu 0.750 0.250 0.250
Cu 0.750 0.750 0.750
W 0.250 0.250 0.250
W 0.250 0.750 0.750
W 0.750 0.250 0.750
W 0.750 0.750 0.250

[13]
A relaxed Tl2Ni9 crystal, computed with PBE-GGA.

Values from the calculation:
symmetry	No. 164
raw total energy	-49.74	eV per cell
crystal system	trigonal

Cell: 2.721 2.721 32.512 Å, 90.00 90.00 120.00°
Fractional coordinates of all 11 atoms:
Tl 0.333 0.667 0.308
Tl 0.667 0.333 0.692
Ni 0.000 0.000 0.000
Ni 0.000 0.000 0.176
Ni 0.000 0.000 0.824
Ni 0.333 0.667 0.117
Ni 0.333 0.667 0.767
Ni 0.333 0.667 0.942
Ni 0.667 0.333 0.058
Ni 0.667 0.333 0.233
Ni 0.667 0.333 0.883

[14]
A relaxed HfTcSn2 crystal, computed with PBE-GGA.

Values from the calculation:
symmetry	No. 216
raw total energy	-110.73	eV per cell
crystal system	cubic

Cell: 6.858 6.858 6.858 Å, 90.00 90.00 90.00°
Fractional coordinates of all 16 atoms:
Hf 0.000 0.000 0.000
Hf 0.000 0.500 0.500
Hf 0.500 0.000 0.500
Hf 0.500 0.500 0.000
Tc 0.250 0.250 0.750
Tc 0.250 0.750 0.250
Tc 0.750 0.250 0.250
Tc 0.750 0.750 0.750
Sn 0.000 0.000 0.500
Sn 0.000 0.500 0.000
Sn 0.250 0.250 0.250
Sn 0.250 0.750 0.750
Sn 0.500 0.000 0.000
Sn 0.500 0.500 0.500
Sn 0.750 0.250 0.750
Sn 0.750 0.750 0.250

[15]
A relaxed Nd2ErAl3Si2Ir crystal, computed with PBE-GGA.

Values from the calculation:
symmetry	No. 38
raw total energy	-52.23	eV per cell
crystal system	orthorhombic

Cell: 4.272 7.040 7.040 Å, 119.83 90.00 90.00°
Fractional coordinates of all 9 atoms:
Nd 0.000 0.208 0.792
Nd 0.000 0.792 0.208
Er 0.000 0.621 0.621
Al 0.500 0.214 0.440
Al 0.500 0.440 0.214
Al 0.500 0.978 0.978
Si 0.500 0.547 0.869
Si 0.500 0.869 0.547
Ir 0.000 0.219 0.219

[16]
A relaxed CuCl2 crystal, computed with PBE-GGA.

Values from the calculation:
symmetry	No. 205
raw total energy	-33.19	eV per cell
crystal system	cubic

Cell: 6.000 6.000 6.000 Å, 90.00 90.00 90.00°
Fractional coordinates of all 12 atoms:
Cu 0.000 0.000 0.000
Cu 0.000 0.500 0.500
Cu 0.500 0.000 0.500
Cu 0.500 0.500 0.000
Cl 0.154 0.654 0.846
Cl 0.154 0.846 0.346
Cl 0.346 0.154 0.846
Cl 0.346 0.346 0.346
Cl 0.654 0.654 0.654
Cl 0.654 0.846 0.154
Cl 0.846 0.154 0.654
Cl 0.846 0.346 0.154

[17]
A relaxed HoSnAs crystal, computed with PBE-GGA.

Values from the calculation:
symmetry	No. 216
raw total energy	-55.88	eV per cell
crystal system	cubic

Cell: 7.002 7.002 7.002 Å, 90.00 90.00 90.00°
Fractional coordinates of all 12 atoms:
Ho 0.000 0.000 0.000
Ho 0.000 0.500 0.500
Ho 0.500 0.000 0.500
Ho 0.500 0.500 0.000
Sn 0.250 0.250 0.250
Sn 0.250 0.750 0.750
Sn 0.750 0.250 0.750
Sn 0.750 0.750 0.250
As 0.250 0.250 0.750
As 0.250 0.750 0.250
As 0.750 0.250 0.250
As 0.750 0.750 0.750

[18]
A relaxed HoAl4CdPd2 crystal, computed with PBE-GGA.

Values from the calculation:
symmetry	No. 38
raw total energy	-71.18	eV per cell
crystal system	orthorhombic

Cell: 7.054 4.220 9.858 Å, 90.00 90.00 90.00°
Fractional coordinates of all 16 atoms:
Ho 0.000 0.000 0.000
Ho 0.000 0.500 0.500
Al 0.202 0.000 0.709
Al 0.202 0.500 0.209
Al 0.306 0.000 0.424
Al 0.306 0.500 0.924
Al 0.694 0.000 0.424
Al 0.694 0.500 0.924
Al 0.798 0.000 0.709
Al 0.798 0.500 0.209
Cd 0.500 0.000 0.140
Cd 0.500 0.500 0.640
Pd 0.000 0.000 0.284
Pd 0.000 0.500 0.784
Pd 0.500 0.000 0.859
Pd 0.500 0.500 0.359

[19]
A relaxed TmCd5 crystal, computed with PBE-GGA.

Values from the calculation:
symmetry	No. 216
formation enthalpy at 0 K	-57	meV per atom
crystal system	cubic

Cell: 5.778 5.778 5.778 Å, 60.00 60.00 60.00°
Fractional coordinates of all 6 atoms:
Tm 0.000 0.000 0.000
Cd 0.124 0.625 0.625
Cd 0.250 0.250 0.250
Cd 0.625 0.124 0.625
Cd 0.625 0.625 0.124
Cd 0.625 0.625 0.625

[20]
A relaxed Sc4CdC2S crystal, computed with PBE-GGA.

Values from the calculation:
symmetry	No. 187
raw total energy	-55.76	eV per cell
crystal system	hexagonal

Cell: 3.397 3.397 13.672 Å, 90.00 90.00 120.00°
Fractional coordinates of all 8 atoms:
Sc 0.000 0.000 0.129
Sc 0.000 0.000 0.871
Sc 0.667 0.333 0.308
Sc 0.667 0.333 0.692
Cd 0.000 0.000 0.500
C 0.333 0.667 0.222
C 0.333 0.667 0.778
S 0.667 0.333 0.000

[21]
A relaxed LaTaCoCu crystal, computed with PBE-GGA.

Values from the calculation:
symmetry	No. 216
polymorph energy (0 for the lowest one)	0.00	kcal/mol of atoms
formation enthalpy at 0 K	359	meV per atom
crystal system	cubic

Cell: 6.619 6.619 6.619 Å, 90.00 90.00 90.00°
Fractional coordinates of all 16 atoms:
La 0.000 0.000 0.000
La 0.000 0.500 0.500
La 0.500 0.000 0.500
La 0.500 0.500 0.000
Ta 0.000 0.000 0.500
Ta 0.000 0.500 0.000
Ta 0.500 0.000 0.000
Ta 0.500 0.500 0.500
Co 0.250 0.250 0.250
Co 0.250 0.750 0.750
Co 0.750 0.250 0.750
Co 0.750 0.750 0.250
Cu 0.250 0.250 0.750
Cu 0.250 0.750 0.250
Cu 0.750 0.250 0.250
Cu 0.750 0.750 0.750

[22]
A relaxed UNbSn crystal, computed with PBE-GGA.

Values from the calculation:
symmetry	No. 216
polymorph energy (0 for the lowest one)	14.01	kcal/mol of atoms
crystal system	cubic

Cell: 6.804 6.804 6.804 Å, 90.00 90.00 90.00°
Fractional coordinates of all 12 atoms:
U 0.000 0.000 0.000
U 0.000 0.500 0.500
U 0.500 0.000 0.500
U 0.500 0.500 0.000
Nb 0.250 0.250 0.750
Nb 0.250 0.750 0.250
Nb 0.750 0.250 0.250
Nb 0.750 0.750 0.750
Sn 0.250 0.250 0.250
Sn 0.250 0.750 0.750
Sn 0.750 0.250 0.750
Sn 0.750 0.750 0.250

[23]
A relaxed TaSiAsO crystal, computed with PBE-GGA.

Values from the calculation:
symmetry	No. 129
polymorph energy (0 for the lowest one)	9.19	kcal/mol of atoms
crystal system	tetragonal

Cell: 4.056 4.056 7.803 Å, 90.00 90.00 90.00°
Fractional coordinates of all 8 atoms:
Ta 0.250 0.750 0.000
Ta 0.750 0.250 0.000
Si 0.250 0.250 0.463
Si 0.750 0.750 0.537
As 0.250 0.250 0.787
As 0.750 0.750 0.213
O 0.250 0.750 0.500
O 0.750 0.250 0.500